No. 1
! Ce2Y2O7 (PBEsol, relaxed); values from VASP
&SYSTEM
  ibrav = 0, nat = 11, ntyp = 3
/
ATOMIC_SPECIES
Ce 140.12 Ce.upf
Y 88.91 Y.upf
O 16.00 O.upf
ATOMIC_POSITIONS crystal
Ce 0.000 0.500 0.126
Ce 0.500 0.000 0.874
Y 0.000 0.500 0.639
Y 0.500 0.000 0.361
O 0.000 0.000 0.000
O 0.000 0.000 0.267
O 0.000 0.000 0.733
O 0.500 0.500 0.000
O 0.500 0.500 0.242
O 0.500 0.500 0.500
O 0.500 0.500 0.758
CELL_PARAMETERS angstrom
3.800 0.000 0.000
0.000 3.800 0.000
0.000 0.000 10.715
! - energy above the most stable polymorph in this dataset (meV per atom) = 27
! - V (Å³/f.u.) = 155
! - symmetry = No. 115


No. 2
! Ce2Y2O7 (PBEsol, relaxed); values from VASP
&SYSTEM
  ibrav = 0, nat = 22, ntyp = 3
/
ATOMIC_SPECIES
Ce 140.12 Ce.upf
Y 88.91 Y.upf
O 16.00 O.upf
ATOMIC_POSITIONS crystal
Ce 0.000 0.000 0.000
Ce 0.250 0.500 0.255
Ce 0.500 0.000 0.000
Ce 0.750 0.500 0.745
Y 0.000 0.000 0.500
Y 0.250 0.500 0.769
Y 0.500 0.000 0.500
Y 0.750 0.500 0.231
O 0.010 0.500 0.123
O 0.041 0.500 0.625
O 0.250 0.000 0.134
O 0.250 0.000 0.393
O 0.250 0.000 0.873
O 0.459 0.500 0.625
O 0.490 0.500 0.123
O 0.510 0.500 0.877
O 0.541 0.500 0.375
O 0.750 0.000 0.127
O 0.750 0.000 0.607
O 0.750 0.000 0.866
O 0.959 0.500 0.375
O 0.990 0.500 0.877
CELL_PARAMETERS angstrom
7.663 0.000 0.000
0.000 3.719 0.000
0.000 0.000 10.747
! - energy above the most stable polymorph in this dataset (meV per atom) = 0
! - V (Å³/f.u.) = 153
! - symmetry = No. 51


No. 3
! Ce3Y4O12 (PBEsol, relaxed); values from VASP
&SYSTEM
  ibrav = 0, nat = 19, ntyp = 3
/
ATOMIC_SPECIES
Ce 140.12 Ce.upf
Y 88.91 Y.upf
O 16.00 O.upf
ATOMIC_POSITIONS crystal
Ce 0.000 0.000 0.000
Ce 0.145 0.145 0.146
Ce 0.569 0.569 0.575
Y 0.284 0.284 0.223
Y 0.421 0.421 0.478
Y 0.708 0.708 0.713
Y 0.853 0.853 0.850
O 0.066 0.066 0.321
O 0.068 0.068 0.825
O 0.209 0.209 0.950
O 0.223 0.223 0.457
O 0.341 0.341 0.586
O 0.370 0.370 0.109
O 0.485 0.485 0.244
O 0.499 0.499 0.761
O 0.638 0.638 0.889
O 0.641 0.641 0.393
O 0.785 0.785 0.010
O 0.924 0.924 0.694
CELL_PARAMETERS angstrom
13.572 -1.856 0.000
13.572 1.856 0.000
-1.077 0.000 5.311
! - uncorrected energy (eV/atom) = -9.29
! - V (Å³/f.u.) = 268
! - symmetry = No. 8


No. 4
! CeZr4O10 (PBEsol, relaxed); values from VASP
&SYSTEM
  ibrav = 0, nat = 15, ntyp = 3
/
ATOMIC_SPECIES
Ce 140.12 Ce.upf
Zr 91.22 Zr.upf
O 16.00 O.upf
ATOMIC_POSITIONS crystal
Ce 0.000 0.000 0.000
Zr 0.201 0.201 0.000
Zr 0.397 0.397 0.000
Zr 0.603 0.603 0.000
Zr 0.799 0.799 0.000
O 0.054 0.554 0.500
O 0.152 0.652 0.500
O 0.250 0.750 0.500
O 0.348 0.848 0.500
O 0.446 0.946 0.500
O 0.554 0.054 0.500
O 0.652 0.152 0.500
O 0.750 0.250 0.500
O 0.848 0.348 0.500
O 0.946 0.446 0.500
CELL_PARAMETERS angstrom
-1.812 1.812 12.879
1.812 -1.812 12.879
1.812 1.812 -12.879
! - uncorrected energy (eV/atom) = -9.79
! - V (Å³/f.u.) = 169
! - symmetry = No. 139


No. 5
! CeZr3O8 (PBEsol, relaxed); values from VASP
&SYSTEM
  ibrav = 0, nat = 24, ntyp = 3
/
ATOMIC_SPECIES
Ce 140.12 Ce.upf
Zr 91.22 Zr.upf
O 16.00 O.upf
ATOMIC_POSITIONS crystal
Ce 0.130 0.870 0.750
Ce 0.870 0.130 0.250
Zr 0.120 0.377 0.752
Zr 0.377 0.120 0.252
Zr 0.382 0.618 0.250
Zr 0.618 0.382 0.750
Zr 0.623 0.880 0.748
Zr 0.880 0.623 0.248
O 0.117 0.631 0.040
O 0.124 0.144 0.522
O 0.144 0.124 0.022
O 0.144 0.604 0.523
O 0.365 0.402 0.941
O 0.369 0.883 0.460
O 0.396 0.856 0.977
O 0.402 0.365 0.441
O 0.598 0.635 0.559
O 0.604 0.144 0.023
O 0.631 0.117 0.540
O 0.635 0.598 0.059
O 0.856 0.396 0.477
O 0.856 0.876 0.978
O 0.876 0.856 0.478
O 0.883 0.369 0.960
CELL_PARAMETERS angstrom
5.159 -5.190 0.000
5.159 5.190 0.000
-0.120 0.000 5.216
! - energy above the most stable polymorph in this dataset (meV per atom) = 0
! - V (Å³/f.u.) = 140
! - symmetry = No. 15


No. 6
! Ce3Zr5O16 (PBEsol, relaxed); values from VASP
&SYSTEM
  ibrav = 0, nat = 24, ntyp = 3
/
ATOMIC_SPECIES
Ce 140.12 Ce.upf
Zr 91.22 Zr.upf
O 16.00 O.upf
ATOMIC_POSITIONS crystal
Ce 0.000 0.000 0.000
Ce 0.256 0.744 0.500
Ce 0.744 0.256 0.500
Zr 0.000 0.500 0.002
Zr 0.249 0.249 0.500
Zr 0.500 0.000 0.998
Zr 0.500 0.500 0.000
Zr 0.751 0.751 0.500
O 0.009 0.729 0.774
O 0.019 0.245 0.276
O 0.240 0.516 0.199
O 0.245 0.019 0.724
O 0.271 0.991 0.226
O 0.275 0.479 0.717
O 0.479 0.275 0.283
O 0.484 0.760 0.801
O 0.516 0.240 0.801
O 0.521 0.725 0.283
O 0.725 0.521 0.717
O 0.729 0.009 0.226
O 0.755 0.981 0.724
O 0.760 0.484 0.199
O 0.981 0.755 0.276
O 0.991 0.271 0.774
CELL_PARAMETERS angstrom
5.192 -5.244 0.000
5.192 5.244 0.000
0.000 0.000 5.255
! - uncorrected energy (eV/atom) = -9.66
! - V (Å³/f.u.) = 286
! - symmetry = No. 21